(1)
This record from the Open Quantum Materials Database describes a relaxed structure of PaTl2O4. The functional is PBE.

Results
As for the space group: Fd-3m (227). The calculation puts the calculated total energy at -6.27 eV/atom. The calculated density is 8.541 g/cm3.

Unit cell a=7.287 b=7.287 c=7.287 alpha=119.99 beta=90.01 gamma=119.99
Atoms (fractional coordinates):
1 Tl 0.375 0.250 0.625
2 Tl 0.375 0.750 0.625
3 Tl 0.375 0.750 0.125
4 Tl 0.875 0.250 0.625
5 O 0.634 0.733 0.366
6 O 0.116 0.767 0.884
7 O 0.116 0.233 0.349
8 O 0.634 0.267 0.901
9 O 0.651 0.767 0.884
10 O 0.116 0.233 0.884
11 O 0.634 0.267 0.366
12 O 0.099 0.733 0.366
13 Pa 0.750 0.500 0.250
14 Pa 0.000 0.000 0.000

(2)
This record from the Open Quantum Materials Database describes a relaxed structure of PaTlO3. The functional is PBE.

Results
As for the space group: Pnma (62). The calculation puts the calculated total energy at -7.02 eV/atom. The calculated density is 10.089 g/cm3.

Unit cell a=5.991 b=6.276 c=8.464 alpha=90.00 beta=90.00 gamma=90.00
Atoms (fractional coordinates):
1 Tl 0.500 0.000 0.000
2 Tl 0.500 0.000 0.500
3 Tl 0.000 0.500 0.500
4 Tl 0.000 0.500 0.000
5 O 0.172 0.171 0.579
6 O 0.296 0.872 0.250
7 O 0.704 0.128 0.750
8 O 0.328 0.671 0.921
9 O 0.672 0.329 0.079
10 O 0.828 0.829 0.079
11 O 0.328 0.671 0.579
12 O 0.204 0.372 0.250
13 O 0.828 0.829 0.421
14 O 0.672 0.329 0.421
15 O 0.172 0.171 0.921
16 O 0.796 0.628 0.750
17 Pa 0.014 0.940 0.750
18 Pa 0.514 0.560 0.250
19 Pa 0.986 0.060 0.250
20 Pa 0.486 0.440 0.750

(3)
This record from the Open Quantum Materials Database describes a relaxed structure of PaTlO3. The functional is PBE.

Results
As for the space group: R-3c (167). The calculation puts the calculated total energy at -6.93 eV/atom. The calculated density is 9.239 g/cm3.

Unit cell a=5.910 b=5.910 c=5.910 alpha=69.10 beta=69.10 gamma=69.10
Atoms (fractional coordinates):
1 O 0.945 0.250 0.555
2 O 0.750 0.445 0.055
3 O 0.555 0.945 0.250
4 O 0.055 0.750 0.445
5 O 0.445 0.055 0.750
6 O 0.250 0.555 0.945
7 Tl 0.500 0.500 0.500
8 Tl 0.000 0.000 0.000
9 Pa 0.250 0.250 0.250
10 Pa 0.750 0.750 0.750

(4)
This record from the Open Quantum Materials Database describes a relaxed structure of PaTlO3. The functional is PBE.

Results
As for the space group: R-3 (148). The calculation puts the calculated total energy at -7.57 eV/atom. The calculated density is 8.383 g/cm3.

Unit cell a=6.153 b=6.153 c=6.837 alpha=63.26 beta=63.26 gamma=60.00
Atoms (fractional coordinates):
1 O 0.969 0.554 0.303
2 O 0.826 0.031 0.697
3 O 0.031 0.446 0.697
4 O 0.174 0.969 0.303
5 O 0.446 0.826 0.697
6 O 0.554 0.174 0.303
7 Tl 0.370 0.370 0.890
8 Tl 0.630 0.630 0.110
9 Pa 0.160 0.160 0.519
10 Pa 0.840 0.840 0.481

(5)
This record from the Open Quantum Materials Database describes a relaxed structure of TmPaO4. The functional is PBE.

Results
As for the space group: I4_1/amd (141). The calculation puts the calculated total energy at -9.01 eV/atom. The calculated density is 10.114 g/cm3.

Unit cell a=6.544 b=6.544 c=6.544 alpha=131.86 beta=131.86 gamma=70.45
Atoms (fractional coordinates):
1 O 0.129 0.625 0.004
2 O 0.875 0.379 0.004
3 O 0.375 0.379 0.504
4 O 0.875 0.871 0.496
5 O 0.129 0.125 0.504
6 O 0.621 0.625 0.496
7 O 0.375 0.871 0.996
8 O 0.621 0.125 0.996
9 Tm 0.000 0.000 0.000
10 Tm 0.750 0.250 0.500
11 Pa 0.250 0.750 0.500
12 Pa 0.500 0.500 0.000

(6)
This record from the Open Quantum Materials Database describes a relaxed structure of Tm2PaO4. The functional is PBE.

Results
As for the space group: I4_1/amd (141). The calculation puts the calculated total energy at -8.34 eV/atom. The calculated density is 9.617 g/cm3.

Unit cell a=6.752 b=6.752 c=6.752 alpha=119.71 beta=90.50 gamma=119.71
Atoms (fractional coordinates):
1 O 0.613 0.221 0.834
2 O 0.584 0.721 0.863
3 O 0.613 0.779 0.392
4 O 0.166 0.779 0.387
5 O 0.608 0.221 0.387
6 O 0.142 0.279 0.863
7 O 0.137 0.279 0.416
8 O 0.137 0.721 0.858
9 Pa 0.000 0.000 0.000
10 Pa 0.750 0.500 0.250
11 Tm 0.375 0.250 0.625
12 Tm 0.875 0.250 0.625
13 Tm 0.375 0.750 0.125
14 Tm 0.375 0.750 0.625